# 1
Tm3AlCd | PBE-GGA | relaxed

Cell: 5.0294 20.1470 5.0295 Å, 90.00 90.00 90.00°
Last column: nearest neighbours and their distance in Å.
Space group Cmcm (No. 63)
Unique sites:
Tm 0.0000 0.0613 0.2500 [4 per cell]  2 Cd 3.16, 2 Al 3.17, 4 Tm 3.53-3.54
Tm 0.0000 0.2499 0.2500 [4 per cell]  4 Al 3.13-3.14, 4 Cd 3.14
Tm 0.0000 0.4379 0.2500 [4 per cell]  2 Cd 3.15, 2 Al 3.16
Al 0.0000 0.1570 0.7500 [4 per cell]  8 Tm 3.13-3.17
Cd 0.0000 0.3434 0.7500 [4 per cell]  8 Tm 3.14-3.16

Computed properties:
Total magnetization = 0.00 μB/atom
E = -77.6 eV per cell
DFT formation energy = -0.266 eV/atom
Distance to the lowest polymorph of the same formula = 0.0000 eV per atom
Crystal system = orthorhombic



# 2
Li4PmIn15 | PBE-GGA | relaxed

Cell: 4.5319 4.5319 23.5769 Å, 90.00 90.00 90.00°
Last column: nearest neighbours and their distance in Å.
Space group P4/mmm (No. 123)
Unique sites:
Li 0.0000 0.0000 0.0970 [2 per cell]  12 In 3.20-3.28
Li 0.0000 0.0000 0.3005 [2 per cell]  12 In 3.16-3.32
Pm 0.0000 0.0000 0.5000 [1 per cell]  12 In 3.20-3.38
In 0.0000 0.5000 0.0000 [2 per cell]  8 In 3.20-3.23, 4 Li 3.22
In 0.0000 0.5000 0.1978 [4 per cell]  8 In 3.20-3.28, 4 Li 3.28-3.32
In 0.0000 0.5000 0.3937 [4 per cell]  2 Li 3.16, 8 In 3.19-3.38, 2 Pm 3.38
In 0.5000 0.5000 0.0979 [2 per cell]  4 Li 3.20, 8 In 3.23-3.27
In 0.5000 0.5000 0.2982 [2 per cell]  8 In 3.19-3.28, 4 Li 3.21
In 0.5000 0.5000 0.5000 [1 per cell]  4 Pm 3.20, 8 In 3.38

Computed properties:
Total magnetization = 0.00 μB/atom
E = -57.2 eV per cell
DFT formation energy = -0.187 eV/atom
Crystal system = tetragonal



# 3
HoLuAgIr | PBE-GGA | relaxed

Cell: 6.9444 6.9444 6.9444 Å, 90.00 90.00 90.00°
Last column: nearest neighbours and their distance in Å.
Space group F-43m (No. 216)
Unique sites:
Ho 0.0000 0.0000 0.0000 [4 per cell]  4 Ir 3.01, 4 Ag 3.01
Lu 0.0000 0.0000 0.5000 [4 per cell]  4 Ir 3.01, 4 Ag 3.01
Ag 0.2500 0.2500 0.7500 [4 per cell]  4 Ho 3.01, 4 Lu 3.01
Ir 0.2500 0.2500 0.2500 [4 per cell]  4 Ho 3.01, 4 Lu 3.01

Computed properties:
Total magnetization = 0.00 μB/atom
E = -93.6 eV per cell
DFT formation energy = -0.649 eV/atom
Crystal system = cubic



# 4
Tl13Bi3 | PBE-GGA | relaxed

Cell: 9.7634 10.3590 9.9729 Å, 90.00 90.00 90.00°
Last column: nearest neighbours and their distance in Å.
Space group Amm2 (No. 38)
Unique sites:
Tl 0.0000 0.0000 0.0000 [2 per cell]  2 Bi 3.47, 10 Tl 3.54-3.60
Tl 0.0000 0.0000 0.5072 [2 per cell]  10 Tl 3.52-3.60, 2 Bi 3.53
Tl 0.0000 0.2476 0.2533 [4 per cell]  10 Tl 3.49-3.64, 2 Bi 3.53
Tl 0.2516 0.2494 0.0020 [8 per cell]  9 Tl 3.46-3.60, 3 Bi 3.54-3.62
Tl 0.2598 0.0000 0.7520 [4 per cell]  1 Bi 3.49, 11 Tl 3.49-3.64
Tl 0.5000 0.0000 0.4926 [2 per cell]  2 Bi 3.46, 10 Tl 3.49-3.67
Tl 0.5000 0.2460 0.2497 [4 per cell]  8 Tl 3.46-3.67, 4 Bi 3.49-3.70
Bi 0.2476 0.0000 0.2492 [4 per cell]  1 Bi 3.42, 11 Tl 3.46-3.62
Bi 0.5000 0.0000 0.0108 [2 per cell]  2 Bi 3.42, 10 Tl 3.49-3.70

Computed properties:
Total magnetization = 0.00 μB/atom
E = -85.4 eV per cell
DFT formation energy = -0.017 eV/atom
Crystal system = orthorhombic



# 5
GaAg3Ge | PBE-GGA | relaxed

Cell: 4.9497 4.9497 4.9497 Å, 90.00 90.00 90.00°
Last column: nearest neighbours and their distance in Å.
Space group Pm-3m (No. 221)
Unique sites:
Ga 0.0000 0.0000 0.0000 [1 per cell]  12 Ag 3.50
Ag 0.0000 0.5000 0.5000 [3 per cell]  2 Ge 2.47
Ge 0.5000 0.5000 0.5000 [1 per cell]  6 Ag 2.47

Computed properties:
Total magnetization = 0.00 μB/atom
E = -14.3 eV per cell
DFT formation energy = 0.380 eV/atom
Distance to the lowest polymorph of the same formula = 0.0000 eV per atom
Crystal system = cubic



# 6
AcNpSe4 | PBE-GGA | relaxed

Cell: 5.9526 7.3713 7.9111 Å, 90.00 90.00 90.00°
Last column: nearest neighbours and their distance in Å.
Space group Cmmm (No. 65)
Unique sites:
Ac 0.0000 0.0000 0.0000 [2 per cell]  8 Se 3.17
Np 0.0000 0.0000 0.5000 [2 per cell]  8 Se 3.00
Se 0.2500 0.2500 0.2671 [8 per cell]  2 Se 2.98, 2 Np 3.00, 2 Ac 3.17

Computed properties:
Uncorrected formation energy = -1193 meV/atom
Total magnetization = 0.67 μB/atom
E = -76.3 eV per cell
Distance to the lowest polymorph of the same formula = 0.0932 eV per atom
Crystal system = orthorhombic



# 7
Dy5Np2Ru5 | PBE-GGA | relaxed

Cell: 8.5321 4.9217 12.5594 Å, 90.00 102.92 90.00°
Last column: nearest neighbours and their distance in Å.
Space group C2/m (No. 12)
Unique sites:
Dy 0.0000 0.0000 0.0000 [2 per cell]  6 Ru 2.98-3.00
Dy 0.1904 0.0000 0.5717 [4 per cell]  7 Ru 2.90-3.07
Dy 0.2193 0.5000 0.1577 [4 per cell]  4 Ru 2.85-3.02
Np 0.0742 0.5000 0.7234 [4 per cell]  2 Ru 2.47-2.73
Ru 0.0000 0.5000 0.5000 [2 per cell]  2 Np 2.73, 6 Dy 2.97-2.98
Ru 0.1121 0.0000 0.3346 [4 per cell]  4 Dy 2.90-3.07, 3 Np 2.93
Ru 0.1411 0.5000 0.9253 [4 per cell]  1 Np 2.47

Computed properties:
Total magnetization = 0.50 μB/atom
E = -193.7 eV per cell
DFT formation energy = -0.132 eV/atom
Crystal system = monoclinic



# 8
LaTaNi | PBE-GGA | relaxed

Cell: 3.3435 3.3435 6.6119 Å, 90.00 90.00 120.00°
Last column: nearest neighbours and their distance in Å.
Space group P3m1 (No. 156)
Unique sites:
La 0.0000 0.0000 0.0000 [1 per cell]  3 Ni 3.05, 3 Ta 3.30, 6 La 3.34
Ta 0.3333 0.6667 0.5947 [1 per cell]  3 Ni 2.49
Ni 0.6667 0.3333 0.3575 [1 per cell]  3 Ta 2.49

Computed properties:
Total magnetization = 0.00 μB/atom
E = -21.5 eV per cell
DFT formation energy = 0.361 eV/atom
Distance to the lowest polymorph of the same formula = 0.2865 eV per atom
Crystal system = trigonal



# 9
Cs2UPdSe6 | PBE-GGA | relaxed

Cell: 10.5815 10.5815 10.5815 Å, 90.00 90.00 90.00°
Last column: nearest neighbours and their distance in Å.
Space group Fm-3m (No. 225)
Unique sites:
Cs 0.2500 0.2500 0.2500 [8 per cell]  12 Se 3.74
U 0.0000 0.0000 0.0000 [4 per cell]  6 Se 2.68
Pd 0.0000 0.0000 0.5000 [4 per cell]  6 Se 2.61
Se 0.0000 0.0000 0.2530 [24 per cell]  1 Pd 2.61, 1 U 2.68

Computed properties:
Uncorrected formation energy = -704 meV/atom
Total magnetization = 0.05 μB/atom
E = -184.5 eV per cell
Crystal system = cubic



# 10
Zn2InNi | PBE-GGA | relaxed

Cell: 3.8614 3.8614 8.2411 Å, 90.00 90.00 90.00°
Last column: nearest neighbours and their distance in Å.
Space group I4/mmm (No. 139)
Unique sites:
Zn 0.0000 0.5000 0.2500 [4 per cell]  4 Zn 2.73, 4 In 2.82, 4 Ni 2.82
In 0.0000 0.0000 0.0000 [2 per cell]  4 Ni 2.73, 8 Zn 2.82
Ni 0.0000 0.0000 0.5000 [2 per cell]  4 In 2.73, 8 Zn 2.82

Computed properties:
Total magnetization = 0.00 μB/atom
E = -22.1 eV per cell
DFT formation energy = 0.004 eV/atom
Crystal system = tetragonal



# 11
Rb2AgBI6 | PBE-GGA | relaxed

Cell: 8.8945 8.8945 10.5106 Å, 90.00 90.00 90.00°
Last column: nearest neighbours and their distance in Å.
Space group I4/mmm (No. 139)
Unique sites:
Rb 0.0000 0.5000 0.2500 [4 per cell]  12 I 4.10-4.48
Ag 0.0000 0.0000 0.0000 [2 per cell]  6 I 2.92-3.20
B 0.0000 0.0000 0.5000 [2 per cell]  2 I 2.06
I 0.0000 0.0000 0.3040 [4 per cell]  1 B 2.06
I 0.2321 0.2321 0.0000 [8 per cell]  1 Ag 2.92

Computed properties:
Uncorrected formation energy = -413 meV/atom
Total magnetization = 0.00 μB/atom
E = -49.8 eV per cell
Crystal system = tetragonal



# 12
Ca2Sc2O | PBE-GGA | relaxed

Cell: 3.6238 3.6238 18.4445 Å, 90.00 90.00 90.00°
Last column: nearest neighbours and their distance in Å.
Space group I4/mmm (No. 139)
Unique sites:
Ca 0.0000 0.0000 0.0810 [4 per cell]  4 O 2.97, 1 Ca 2.99
Sc 0.0000 0.5000 0.2500 [4 per cell]  4 Sc 2.56
O 0.0000 0.0000 0.5000 [2 per cell]  8 Ca 2.97

Computed properties:
Uncorrected formation energy = -238 meV/atom
Total magnetization = 0.00 μB/atom
E = -45.6 eV per cell
Distance to the lowest polymorph of the same formula = 0.3193 eV per atom
Crystal system = tetragonal